Record 1
Here is an optimized crystal structure of Rb3YU2O9 from Alexandria. Energies are from GGA-PBE.

Calculated values
M_tot: 0.000 μB/cell
electronic total energy: -7.97 eV/atom
E_form (uncorrected): -2.866 eV/atom
crystal system: trigonal
ρ: 6.5 g/cm3

Geometry as CIF:
```
data_Rb3YU2O9
_chemical_formula_sum 'Rb3 Y1 U2 O9'
_space_group_name_H-M_alt 'P -3 m 1'
_space_group_IT_number 164
_space_group_name_Hall '-P 3 2"'
_cell_length_a 6.1631
_cell_length_b 6.1631
_cell_length_c 7.5446
_cell_angle_alpha 90.00
_cell_angle_beta 90.00
_cell_angle_gamma 120.00
loop_
_atom_site_label
_atom_site_type_symbol
_atom_site_fract_x
_atom_site_fract_y
_atom_site_fract_z
Rb1 Rb 0.0000 0.0000 0.0000
Rb2 Rb 0.3333 0.6667 0.6623
Y1 Y 0.0000 0.0000 0.5000
U1 U 0.3333 0.6667 0.1673
O1 O 0.0000 0.5000 0.0000
O2 O 0.1755 0.3510 0.3217
```

Record 2
Here is an optimized crystal structure of Rb2YUO6 from Alexandria. Energies are from GGA-PBE.

Calculated values
M_tot: 4.198 μB/cell
electronic total energy: -7.60 eV/atom
E_form (uncorrected): -2.655 eV/atom
crystal system: cubic
ρ: 5.9 g/cm3

Geometry as CIF:
```
data_Rb2YUO6
_chemical_formula_sum 'Rb8 Y4 U4 O24'
_space_group_name_H-M_alt 'F m -3 m'
_space_group_IT_number 225
_space_group_name_Hall '-F 4 2 3'
_cell_length_a 8.7645
_cell_length_b 8.7645
_cell_length_c 8.7645
_cell_angle_alpha 90.00
_cell_angle_beta 90.00
_cell_angle_gamma 90.00
loop_
_atom_site_label
_atom_site_type_symbol
_atom_site_fract_x
_atom_site_fract_y
_atom_site_fract_z
Rb1 Rb 0.2500 0.2500 0.2500
Y1 Y 0.0000 0.0000 0.0000
U1 U 0.0000 0.0000 0.5000
O1 O 0.0000 0.0000 0.2617
```

> Among the records above, which one has the lowest ρ?

Rb2YUO6